1.
ZrAg2As: optimized geometry, PBE.

Structure (POSCAR):
```
ZrAg2As
1.0
5.708 0.049 0.000
2.970 4.875 0.000
-4.339 -2.462 2.774
Ag As Zr
2 1 1
Cartesian
0.000 0.000 0.000
4.339 2.462 0.000
1.485 2.438 1.387
2.854 0.024 1.387
```

Computed properties:
Energy of formation from the pure elements   -0.22 eV per atom
Space group   I4/mmm


2.
Zr2AgAs: optimized geometry, PBE.

Structure (POSCAR):
```
Zr2AgAs
1.0
4.865 0.000 0.000
2.432 4.213 0.000
2.432 1.404 3.972
Zr Ag As
2 1 1
Cartesian
0.000 0.000 0.000
7.297 4.213 2.979
4.865 2.809 1.986
2.432 1.404 0.993
```

Computed properties:
Energy of formation from the pure elements   0.22 eV per atom
Space group   F-43m


3.
ZrAgAs: optimized geometry, PBE.

Structure (POSCAR):
```
ZrAgAs
1.0
-3.053 2.783 -1.182
-0.621 -4.220 -0.521
-1.462 -0.194 3.318
Ag As Zr
1 1 1
Cartesian
-0.142 -0.019 0.323
-1.781 -1.932 0.052
-3.213 0.320 1.240
```

Computed properties:
Energy of formation from the pure elements   -0.28 eV per atom
Space group   P3m1


4.
ZrAgAs: optimized geometry, PBE.

Structure (POSCAR):
```
ZrAgAs
1.0
6.165 -0.034 0.030
5.103 3.102 0.042
1.062 -0.397 3.111
As Ag Zr
1 1 1
Cartesian
4.415 0.741 2.112
11.193 3.043 0.094
7.989 1.955 1.048
```

Computed properties:
Energy of formation from the pure elements   -0.26 eV per atom
Space group   Fmm2


5.
Zr2Ag2As: optimized geometry, PBE.

Structure (POSCAR):
```
Zr2Ag2As
1.0
-1.910 -5.885 3.358
1.236 -3.733 -5.839
4.156 -0.620 1.276
Ag As Zr
4 2 4
Cartesian
0.880 -6.718 1.423
1.920 -7.286 -2.237
1.562 -2.952 1.033
2.602 -3.520 -2.628
-0.337 -4.809 -1.240
0.000 0.000 0.000
-1.062 -4.472 1.285
0.388 -5.146 -3.765
-0.792 -7.409 -1.024
0.118 -2.209 -1.457
```

Computed properties:
E above lowest polymorph   0 meV per atom
Energy of formation from the pure elements   -0.16 eV per atom
Space group   P4/mbm


6.
ZrAgAs: optimized geometry, PBE.

Structure (POSCAR):
```
ZrAgAs
1.0
-1.371 -0.071 2.765
-1.003 -1.839 -2.268
4.611 -5.170 2.153
As Zr Ag
1 1 1
Cartesian
0.333 -2.434 1.826
1.907 -4.650 0.826
4.608 -5.166 2.151
```

Computed properties:
Energy of formation from the pure elements   -0.08 eV per atom
Space group   P3m1


7.
ZrAgAs: optimized geometry, PBE.

Structure (POSCAR):
```
ZrAgAs
1.0
5.961 0.009 0.001
4.098 4.328 -0.001
-4.845 -2.597 2.305
Ag Zr As
1 1 1
Cartesian
10.018 4.320 0.000
6.835 2.948 0.000
3.264 1.407 0.000
```

Computed properties:
Energy of formation from the pure elements   -0.27 eV per atom
Space group   Imm2


8.
Zr2AgAs: optimized geometry, PBE.

Structure (POSCAR):
```
Zr2AgAs
1.0
3.753 0.002 -0.002
1.871 3.253 -0.002
1.884 1.090 7.068
As Zr Ag
1 2 1
Cartesian
1.877 1.086 1.766
5.624 3.255 0.211
3.754 2.173 3.316
5.631 3.259 5.298
```

Computed properties:
Energy of formation from the pure elements   -0.47 eV per atom
Space group   R-3m


9.
ZrAg2As: optimized geometry, PBE.

Structure (POSCAR):
```
ZrAg2As
1.0
-3.759 1.119 -2.669
-0.395 -4.545 -1.301
0.003 1.213 4.586
As Ag Zr
1 2 1
Cartesian
-2.020 -1.666 -1.930
-0.017 -0.014 -0.016
-1.259 -2.543 0.626
-2.932 0.297 -0.049
```

Computed properties:
Energy of formation from the pure elements   -0.11 eV per atom
Space group   Imm2


10.
ZrAg2As: optimized geometry, PBE.

Structure (POSCAR):
```
ZrAg2As
1.0
3.712 0.000 0.000
0.000 3.615 0.011
0.000 1.790 5.890
As Ag Zr
1 2 1
Cartesian
0.000 2.023 3.293
0.000 0.227 0.156
1.856 2.030 1.284
1.856 3.829 4.120
```

Computed properties:
Energy of formation from the pure elements   -0.31 eV per atom
Space group   Amm2


11.
ZrAg2As: optimized geometry, PBE.

Structure (POSCAR):
```
ZrAg2As
1.0
3.016 0.000 0.000
0.000 3.788 0.000
0.000 0.000 6.742
Ag Zr As
2 1 1
Cartesian
0.000 0.000 0.073
1.508 1.894 1.599
1.508 1.894 4.978
0.000 0.000 3.464
```

Computed properties:
Energy of formation from the pure elements   -0.20 eV per atom
Space group   Pmm2


12.
Zr2AgAs: optimized geometry, PBE.

Structure (POSCAR):
```
Zr2AgAs
1.0
-3.007 4.964 -7.794
-5.829 4.480 -6.354
-3.991 6.958 -5.485
Zr As Ag
2 1 1
Cartesian
-3.195 4.085 -4.890
-0.056 0.071 -0.086
-9.598 12.272 -14.690
-6.392 8.173 -9.783
```

Computed properties:
Energy of formation from the pure elements   -0.07 eV per atom
Space group   R3m